Below is crystalline SmHo2Th3S6 at its relaxed geometry, with properties calculated at the GGA-PBE level.

a b c (Å): 6.7774 6.7774 7.0871
angles (deg): 99.14 99.14 119.64
Positions (direct):
1 Sm 0.0000 0.0000 0.0000
2 Ho 0.3331 0.6669 0.0000
3 Ho 0.6669 0.3331 0.0000
4 Th 0.1637 0.8363 0.5000
5 Th 0.5000 0.5000 0.5000
6 Th 0.8363 0.1637 0.5000
7 S 0.0788 0.4190 0.2366
8 S 0.2626 0.2626 0.7672
9 S 0.4190 0.0788 0.2366
10 S 0.5810 0.9212 0.7634
11 S 0.7374 0.7374 0.2328
12 S 0.9212 0.5810 0.7634

Values from the calculation:
The calculation puts the uncorrected formation energy at -1.90 eV/atom. The calculation puts the density of states at the Fermi level at 7.02 states/eV/cell. The value obtained for the energy is -6.98 eV/atom.

Below is crystalline SmHo2ThS4 at its relaxed geometry, with properties calculated at the GGA-PBE level.

a b c (Å): 6.8183 3.9164 6.9335
angles (deg): 90.00 109.02 90.00
Positions (direct):
1 Sm 0.0000 0.0000 0.0000
2 Ho 0.0000 0.5000 0.5000
3 Ho 0.5000 0.0000 0.5000
4 Th 0.5000 0.5000 0.0000
5 S 0.2432 0.0000 0.7350
6 S 0.2530 0.5000 0.2635
7 S 0.7470 0.5000 0.7365
8 S 0.7568 0.0000 0.2650

Values from the calculation:
The calculation puts the uncorrected formation energy at -1.95 eV/atom. The calculation puts the density of states at the Fermi level at 3.26 states/eV/cell. The value obtained for the energy is -6.67 eV/atom.

Below is crystalline Sm2Ho3ThS6 at its relaxed geometry, with properties calculated at the GGA-PBE level.

a b c (Å): 8.8747 8.8747 7.9497
angles (deg): 104.01 104.01 25.62
Positions (direct):
1 Sm 0.1647 0.1647 0.3298
2 Sm 0.8353 0.8353 0.6702
3 Ho 0.1658 0.1658 0.8343
4 Ho 0.5000 0.5000 0.5000
5 Ho 0.8342 0.8342 0.1657
6 Th 0.5000 0.5000 0.0000
7 S 0.0032 0.0032 0.7398
8 S 0.3289 0.3289 0.9229
9 S 0.3348 0.3348 0.4098
10 S 0.6652 0.6652 0.5902
11 S 0.6711 0.6711 0.0771
12 S 0.9968 0.9968 0.2602

Values from the calculation:
The calculation puts the uncorrected formation energy at -1.96 eV/atom. The calculation puts the density of states at the Fermi level at 5.57 states/eV/cell. The value obtained for the energy is -6.57 eV/atom.